Pm3Zn4Cu2, relaxed, DFT PBE; total moment = 0.00 μB/cell; excess energy over the best structure of this formula in the dataset = 0 meV per atom; symmetry = C2/m (12)
1.0
-2.6178 -2.1230 2.9317
2.7166 -4.2892 2.7228
2.4553 2.7575 7.5926
Zn Pm Cu
4 3 2
Direct
0.2754 0.3878 0.0615
0.9604 0.7055 0.3736
0.0396 0.2945 0.6264
0.7246 0.6122 0.9385
0.0000 0.0000 0.0000
0.3258 0.6917 0.6567
0.6742 0.3083 0.3433
0.5999 0.0691 0.7311
0.4001 0.9309 0.2689

PmZn6Cu, relaxed, DFT PBE; total DFT energy (no corrections) = -2.235 eV per atom; total moment = 0.00 μB/cell; symmetry = P4/mmm (123)
1.0
4.1606 0.0000 0.0000
0.0000 4.1606 0.0000
0.0000 0.0000 8.2384
Zn Cu Pm
6 1 1
Direct
0.5000 0.5000 0.8517
0.0000 0.5000 0.3325
0.5000 0.5000 0.1483
0.0000 0.5000 0.6675
0.5000 0.0000 0.3325
0.5000 0.0000 0.6675
0.0000 0.0000 0.5000
0.0000 0.0000 0.0000

PmZn3Cu2, relaxed, DFT PBE; total moment = 0.00 μB/cell; excess energy over the best structure of this formula in the dataset = 68 meV per atom; symmetry = C2/m (12)
1.0
4.1549 0.0000 0.0000
-2.0775 7.4931 -0.0021
0.0000 -3.3714 6.7748
Cu Zn Pm
4 6 2
Direct
0.8054 0.6108 0.3125
0.5192 0.0384 0.1699
0.4808 0.9616 0.8301
0.1946 0.3892 0.6875
0.3955 0.7911 0.3004
0.6859 0.3718 0.4578
0.3141 0.6282 0.5422
0.0330 0.0660 0.3645
0.6045 0.2089 0.6996
0.9670 0.9340 0.6355
0.1471 0.2942 0.0691
0.8529 0.7058 0.9309

PmZnCu2, relaxed, DFT PBE; total DFT energy (no corrections) = -3.773 eV per atom; total moment = 0.00 μB/cell; symmetry = Pnma (62)
1.0
5.4801 0.0000 0.0000
0.0000 6.7261 0.0000
0.0000 0.0000 7.8194
Cu Pm Zn
8 4 4
Direct
0.3982 0.9393 0.3237
0.1018 0.9393 0.8237
0.1018 0.5607 0.8237
0.6018 0.0607 0.6763
0.3982 0.5607 0.3237
0.8982 0.0607 0.1763
0.8982 0.4393 0.1763
0.6018 0.4393 0.6763
0.8494 0.7500 0.4469
0.1506 0.2500 0.5531
0.6506 0.7500 0.9469
0.3494 0.2500 0.0531
0.3513 0.7500 0.6130
0.1487 0.7500 0.1130
0.6487 0.2500 0.3870
0.8513 0.2500 0.8870

PmZnCu, relaxed, DFT PBE; total moment = 0.00 μB/cell; excess energy over the best structure of this formula in the dataset = 0 meV per atom; symmetry = C2/m (12)
1.0
4.4436 0.0000 0.0000
2.2218 4.9781 0.0234
2.2218 0.3925 5.4345
Cu Zn Pm
2 2 2
Direct
0.1586 0.3893 0.2935
0.8414 0.6107 0.7065
0.8283 0.2334 0.1099
0.1717 0.7666 0.8901
0.4542 0.7960 0.2956
0.5458 0.2040 0.7044

Pm3Zn2Cu3, relaxed, DFT PBE; total moment = 0.00 μB/cell; excess energy over the best structure of this formula in the dataset = 0 meV per atom; symmetry = Cmcm (63)
1.0
4.4443 0.0000 0.0000
-2.2221 5.2309 0.0000
0.0000 0.0000 14.3824
Zn Cu Pm
4 6 6
Direct
0.7976 0.5952 0.9035
0.2024 0.4048 0.0965
0.2024 0.4048 0.4035
0.7976 0.5952 0.5965
0.3907 0.7814 0.9601
0.6093 0.2186 0.4601
0.6093 0.2186 0.0399
0.6739 0.3478 0.7500
0.3261 0.6522 0.2500
0.3907 0.7814 0.5399
0.0959 0.1918 0.8967
0.9041 0.8082 0.1033
0.6164 0.2329 0.2500
0.9041 0.8082 0.3967
0.0959 0.1918 0.6033
0.3836 0.7671 0.7500

Pm2Zn6Cu9, relaxed, DFT PBE; total DFT energy (no corrections) = -3.264 eV per atom; total moment = 0.00 μB/cell; symmetry = P6/mmm (191)
1.0
-1.7519 -4.5876 1.7004
0.3925 0.9022 -5.1028
11.5058 -4.3510 0.1156
Cu Pm Zn
9 2 6
Direct
0.5000 0.5000 0.1666
0.5000 0.0000 0.8334
0.0000 0.5000 0.8334
0.5000 0.5000 0.8334
0.5000 0.0000 0.5000
0.0000 0.5000 0.1666
0.0000 0.5000 0.5000
0.5000 0.0000 0.1666
0.5000 0.5000 0.5000
0.0000 0.0000 0.3299
0.0000 0.0000 0.6701
0.6667 0.3333 0.0000
0.3333 0.6667 0.6654
0.3333 0.6667 0.0000
0.3333 0.6667 0.3346
0.6667 0.3333 0.6654
0.6667 0.3333 0.3346

Pm2Zn3Cu, relaxed, DFT PBE; total DFT energy (no corrections) = -3.218 eV per atom; total moment = 0.00 μB/cell; symmetry = Pmm2 (25)
1.0
-2.7163 0.6185 -2.2976
-2.4844 -3.0840 2.1069
-2.7865 5.5083 4.7771
Zn Pm Cu
3 2 1
Direct
0.5000 0.0000 0.1664
0.5000 0.0000 0.8311
0.5000 0.5000 0.6659
0.0000 0.0000 0.4925
0.0000 0.5000 0.0092
0.5000 0.5000 0.3350

Repeat the sixth record exactly.
Pm3Zn2Cu3, relaxed, DFT PBE; total moment = 0.00 μB/cell; excess energy over the best structure of this formula in the dataset = 0 meV per atom; symmetry = Cmcm (63)
1.0
4.4443 0.0000 0.0000
-2.2221 5.2309 0.0000
0.0000 0.0000 14.3824
Zn Cu Pm
4 6 6
Direct
0.7976 0.5952 0.9035
0.2024 0.4048 0.0965
0.2024 0.4048 0.4035
0.7976 0.5952 0.5965
0.3907 0.7814 0.9601
0.6093 0.2186 0.4601
0.6093 0.2186 0.0399
0.6739 0.3478 0.7500
0.3261 0.6522 0.2500
0.3907 0.7814 0.5399
0.0959 0.1918 0.8967
0.9041 0.8082 0.1033
0.6164 0.2329 0.2500
0.9041 0.8082 0.3967
0.0959 0.1918 0.6033
0.3836 0.7671 0.7500